Density functional theory data (GGA-PBE) for crystalline Er5Hg2Os at its relaxed geometry.

Unit cell a=4.897 b=6.880 c=12.059 alpha=90.00 beta=90.00 gamma=90.00
Sites, in units of the cell vectors:
Er (0.000, 0.000, 0.500)
Er (0.000, 0.500, 0.000)
Er (0.000, 0.863, 0.209)
Er (0.000, 0.137, 0.791)
Er (0.000, 0.637, 0.709)
Er (0.000, 0.363, 0.291)
Er (0.500, 0.670, 0.412)
Er (0.500, 0.330, 0.588)
Er (0.500, 0.830, 0.912)
Er (0.500, 0.170, 0.088)
Hg (0.500, 0.592, 0.158)
Hg (0.500, 0.408, 0.842)
Hg (0.500, 0.908, 0.658)
Hg (0.500, 0.092, 0.342)
Os (0.000, 0.500, 0.500)
Os (0.000, 0.000, 0.000)

Summary:
magnetic moment	0.000	μB per atom
formation energy	-0.376	eV/atom
symmetry	Pbam, No. 55
calculated total energy	-4.707	eV/atom
volume	406.3	Å³ per cell
DOS at the Fermi energy	12.98	states/eV per cell